[1]
VASP calculation (PBE) on crystalline Sm2Er3Tm3 at its relaxed geometry.

Cell: 4.9959 4.9962 10.5718 Å, 103.67 103.67 90.00°
Fractional positions:
Sm 0.7500 0.2500 0.5001
Sm 0.2500 0.7500 0.4999
Er 0.6231 0.6231 0.2462
Er 0.3769 0.3769 0.7538
Er 0.5000 0.0000 0.0000
Tm 0.1232 0.1233 0.2464
Tm 0.0000 0.5000 0.0000
Tm 0.8768 0.8767 0.7536

## Properties
volume = 31.09 Å³ per atom
total magnetization = 0.00 μB per formula unit

=====

[2]
VASP calculation (PBE) on crystalline Sm2ErTm3 at its relaxed geometry.

Cell: 3.4771 8.9839 12.8286 Å, 78.08 82.21 78.84°
Fractional positions:
Sm 0.8197 0.4794 0.8812
Sm 0.1803 0.5206 0.1188
Sm 0.6565 0.1564 0.5307
Sm 0.3435 0.8436 0.4693
Er 0.4374 0.4822 0.6430
Er 0.5626 0.5178 0.3570
Tm 0.0390 0.1320 0.7900
Tm 0.9610 0.8680 0.2100
Tm 0.5983 0.8289 0.9745
Tm 0.4017 0.1711 0.0255
Tm 0.7373 0.8171 0.7083
Tm 0.2627 0.1829 0.2917

## Properties
volume = 31.90 Å³ per atom
total magnetization = 0.00 μB per formula unit

=====

[3]
VASP calculation (PBE) on crystalline SmEr12Tm7 at its relaxed geometry.

Cell: 9.6950 9.6950 9.6950 Å, 109.47 109.47 109.47°
Fractional positions:
Sm 0.0000 0.0000 0.0000
Er 0.4870 0.7436 0.7434
Er 0.0003 0.7436 0.2566
Er 0.5130 0.2564 0.2566
Er 0.9997 0.2564 0.7434
Er 0.7434 0.9997 0.2564
Er 0.7434 0.4870 0.7436
Er 0.2566 0.0003 0.7436
Er 0.2566 0.5130 0.2564
Er 0.7436 0.7434 0.4870
Er 0.2564 0.2566 0.5130
Er 0.7436 0.2566 0.0003
Er 0.2564 0.7434 0.9997
Tm 0.5000 0.5000 0.0000
Tm 0.0000 0.5000 0.5000
Tm 0.5000 0.0000 0.5000
Tm 0.5000 0.5000 0.5000
Tm 0.0000 0.0000 0.5000
Tm 0.5000 0.0000 0.0000
Tm 0.0000 0.5000 0.0000

## Properties
volume = 35.07 Å³ per atom
total magnetization = 0.00 μB per formula unit

=====

[4]
VASP calculation (PBE) on crystalline SmEr7Tm3 at its relaxed geometry.

Cell: 5.4688 9.7865 8.7748 Å, 104.98 128.53 90.01°
Fractional positions:
Sm 0.5000 0.5000 0.5000
Er 0.9281 0.8322 0.9280
Er 0.8498 0.7098 0.3499
Er 0.6764 0.3577 0.1765
Er 0.3236 0.6423 0.8235
Er 0.5000 0.0000 0.5000
Er 0.1502 0.2902 0.6501
Er 0.0719 0.1678 0.0720
Tm 0.2754 0.9947 0.7755
Tm 0.0000 0.5000 0.0000
Tm 0.7246 0.0053 0.2245

## Properties
volume = 31.52 Å³ per atom
total magnetization = 0.00 μB per formula unit

=====

[5]
VASP calculation (PBE) on crystalline Sm2Er2Tm at its relaxed geometry.

Cell: 5.6560 3.6130 16.0521 Å, 96.46 100.15 90.00°
Fractional positions:
Sm 0.7277 0.9777 0.4554
Sm 0.2723 0.0223 0.5446
Sm 0.3715 0.1215 0.7430
Sm 0.6285 0.8785 0.2570
Er 0.5411 0.2911 0.0823
Er 0.9456 0.1956 0.8912
Er 0.4589 0.7089 0.9177
Er 0.0544 0.8044 0.1088
Tm 0.8303 0.5803 0.6605
Tm 0.1697 0.4197 0.3395

## Properties
volume = 32.08 Å³ per atom
total magnetization = 0.00 μB per formula unit

=====

[6]
VASP calculation (PBE) on crystalline Sm5Er2Tm4 at its relaxed geometry.

Cell: 6.6000 6.6000 9.2148 Å, 75.66 75.66 66.74°
Fractional positions:
Sm 0.6529 0.2131 0.7690
Sm 0.3471 0.7869 0.2310
Sm 0.0000 0.0000 0.5000
Sm 0.2131 0.6529 0.7690
Sm 0.7869 0.3471 0.2310
Er 0.1461 0.1461 0.8821
Er 0.8539 0.8539 0.1179
Tm 0.3042 0.3042 0.4997
Tm 0.6958 0.6958 0.5003
Tm 0.6643 0.6643 0.8829
Tm 0.3357 0.3357 0.1171

## Properties
volume = 32.02 Å³ per atom
total magnetization = 0.00 μB per formula unit

=====

| no. | ΔE_f (eV/atom) | DFT total energy (eV per cell) |
| --- | --- | --- |
| 1 | 0.026 | -36.34 |
| 2 | 0.122 | -53.36 |
| 3 | 0.740 | -75.97 |
| 4 | 0.154 | -48.38 |
| 5 | 0.137 | -44.70 |
| 6 | 0.134 | -49.14 |